## Lu2OsPt (GGA-PBE)

Data for an optimized crystal structure of Lu2OsPt.

Results
- ΔH_f (0 K): -847.4 meV/atom

Cell and atoms, written as CIF:
```
data_Lu2OsPt
_symmetry_space_group_name_H-M 'P 4/m m m'
_symmetry_Int_Tables_number 123
_symmetry_space_group_name_Hall '-P 4 2'
_cell_length_a 3.410
_cell_length_b 3.410
_cell_length_c 6.578
_cell_angle_alpha 90.00
_cell_angle_beta 90.00
_cell_angle_gamma 90.00
loop_
_atom_site_label
_atom_site_fract_x
_atom_site_fract_y
_atom_site_fract_z
Lu1 0.000 0.000 0.244
Os1 0.500 0.500 0.000
Pt1 0.500 0.500 0.500
```